Record 1
{"formula": "Mn6IrRh5", "functional": "GGA-PBE", "state": "relaxed", "ef_ev_per_atom": -0.1722, "total_magnetization_mub_per_cell": 24.46, "energy_ha_per_atom": -0.315, "lattice_angstrom": [[-2.153, 3.021, 6.463], [2.153, -3.021, 6.463], [2.153, 3.021, -6.463]], "species": ["Mn", "Mn", "Mn", "Mn", "Mn", "Mn", "Ir", "Rh", "Rh", "Rh", "Rh", "Rh"], "frac_coords": [[0.083, 0.333, 0.750], [0.250, 0.000, 0.250], [0.417, 0.667, 0.750], [0.583, 0.333, 0.250], [0.750, 0.000, 0.750], [0.917, 0.667, 0.250], [0.500, 0.500, 0.000], [0.000, 0.500, 0.500], [0.167, 0.167, 0.000], [0.334, 0.834, 0.500], [0.666, 0.166, 0.500], [0.833, 0.833, 0.000]]}

=====

Record 2
{"formula": "MnIr3Rh3", "functional": "GGA-PBE", "state": "relaxed", "ef_ev_per_atom": 0.1893, "total_magnetization_mub_per_cell": 7.34, "energy_ha_per_atom": -0.297, "lattice_angstrom": [[9.948, 0.000, 0.000], [0.000, 4.095, 0.000], [0.000, 0.000, 10.142]], "species": ["Mn", "Mn", "Mn", "Mn", "Ir", "Ir", "Ir", "Ir", "Ir", "Ir", "Ir", "Ir", "Ir", "Ir", "Ir", "Ir", "Rh", "Rh", "Rh", "Rh", "Rh", "Rh", "Rh", "Rh", "Rh", "Rh", "Rh", "Rh"], "frac_coords": [[0.088, 0.250, 0.168], [0.412, 0.750, 0.668], [0.588, 0.250, 0.332], [0.912, 0.750, 0.832], [0.025, 0.250, 0.926], [0.048, 0.250, 0.425], [0.212, 0.750, 0.527], [0.288, 0.250, 0.027], [0.452, 0.750, 0.925], [0.475, 0.750, 0.426], [0.525, 0.250, 0.574], [0.548, 0.250, 0.075], [0.712, 0.750, 0.973], [0.788, 0.250, 0.473], [0.952, 0.750, 0.575], [0.975, 0.750, 0.074], [0.111, 0.250, 0.677], [0.156, 0.750, 0.280], [0.181, 0.750, 0.861], [0.319, 0.250, 0.361], [0.344, 0.250, 0.780], [0.389, 0.750, 0.177], [0.611, 0.250, 0.823], [0.656, 0.750, 0.220], [0.681, 0.750, 0.639], [0.819, 0.250, 0.139], [0.844, 0.250, 0.720], [0.889, 0.750, 0.323]]}

=====

Record 3
{"formula": "MnIr2Rh4", "functional": "GGA-PBE", "state": "relaxed", "ef_ev_per_atom": 0.2491, "total_magnetization_mub_per_cell": 5.72, "energy_ha_per_atom": -0.286, "lattice_angstrom": [[1.362, -8.385, 0.000], [1.362, 8.385, 0.000], [0.000, 0.000, 9.323]], "species": ["Mn", "Mn", "Ir", "Ir", "Ir", "Ir", "Rh", "Rh", "Rh", "Rh", "Rh", "Rh", "Rh", "Rh"], "frac_coords": [[0.123, 0.877, 0.750], [0.877, 0.123, 0.250], [0.370, 0.630, 0.609], [0.370, 0.630, 0.891], [0.630, 0.370, 0.109], [0.630, 0.370, 0.391], [0.000, 0.000, 0.000], [0.000, 0.000, 0.500], [0.266, 0.734, 0.115], [0.266, 0.734, 0.385], [0.500, 0.500, 0.250], [0.500, 0.500, 0.750], [0.734, 0.266, 0.615], [0.734, 0.266, 0.885]]}

=====

Record 4
{"formula": "MnIr3Rh4", "functional": "GGA-PBE", "state": "relaxed", "ef_ev_per_atom": 0.1319, "total_magnetization_mub_per_cell": 4.90, "energy_ha_per_atom": -0.294, "lattice_angstrom": [[2.694, 0.000, 0.000], [0.000, 8.720, 0.000], [0.000, 0.000, 9.882]], "species": ["Mn", "Mn", "Ir", "Ir", "Ir", "Ir", "Ir", "Ir", "Rh", "Rh", "Rh", "Rh", "Rh", "Rh", "Rh", "Rh"], "frac_coords": [[0.000, 0.000, 0.000], [0.500, 0.500, 0.500], [0.000, 0.000, 0.500], [0.000, 0.500, 0.286], [0.000, 0.500, 0.714], [0.500, 0.000, 0.214], [0.500, 0.000, 0.786], [0.500, 0.500, 0.000], [0.000, 0.257, 0.130], [0.000, 0.257, 0.870], [0.000, 0.743, 0.130], [0.000, 0.743, 0.870], [0.500, 0.243, 0.370], [0.500, 0.243, 0.630], [0.500, 0.757, 0.370], [0.500, 0.757, 0.630]]}

=====

Record 5
{"formula": "Mn2Ir3Rh4", "functional": "GGA-PBE", "state": "relaxed", "ef_ev_per_atom": -0.1093, "total_magnetization_mub_per_cell": 5.50, "energy_ha_per_atom": -0.308, "lattice_angstrom": [[4.282, -1.917, 0.000], [4.282, 1.917, 0.000], [-2.585, 0.000, 7.672]], "species": ["Mn", "Mn", "Ir", "Ir", "Ir", "Rh", "Rh", "Rh", "Rh"], "frac_coords": [[0.165, 0.165, 0.222], [0.835, 0.835, 0.778], [0.166, 0.166, 0.553], [0.500, 0.500, 0.000], [0.834, 0.834, 0.447], [0.167, 0.167, 0.890], [0.500, 0.500, 0.331], [0.500, 0.500, 0.669], [0.833, 0.833, 0.110]]}

=====

Record 6
{"formula": "MnIrRh4", "functional": "GGA-PBE", "state": "relaxed", "ef_ev_per_atom": 0.3907, "total_magnetization_mub_per_cell": 3.79, "energy_ha_per_atom": -0.276, "lattice_angstrom": [[6.854, 0.000, 0.000], [0.000, 3.933, 0.000], [-2.300, 0.000, 7.209]], "species": ["Mn", "Mn", "Ir", "Ir", "Rh", "Rh", "Rh", "Rh", "Rh", "Rh", "Rh", "Rh"], "frac_coords": [[0.000, 0.000, 0.000], [0.500, 0.500, 0.000], [0.000, 0.500, 0.500], [0.500, 0.000, 0.500], [0.114, 0.000, 0.340], [0.124, 0.500, 0.872], [0.376, 0.000, 0.128], [0.386, 0.500, 0.660], [0.614, 0.500, 0.340], [0.624, 0.000, 0.872], [0.876, 0.500, 0.128], [0.886, 0.000, 0.660]]}

=====

Record 7
{"formula": "MnIr2Rh", "functional": "GGA-PBE", "state": "relaxed", "ef_ev_per_atom": -0.0938, "total_magnetization_mub_per_cell": 6.49, "energy_ha_per_atom": -0.318, "lattice_angstrom": [[8.982, 0.000, 0.000], [0.000, 2.749, 0.000], [-0.863, 0.000, 4.576]], "species": ["Mn", "Mn", "Ir", "Ir", "Ir", "Ir", "Rh", "Rh"], "frac_coords": [[0.000, 0.000, 0.000], [0.500, 0.500, 0.000], [0.248, 0.500, 0.258], [0.497, 0.000, 0.495], [0.748, 0.000, 0.258], [0.997, 0.500, 0.495], [0.251, 0.000, 0.758], [0.751, 0.500, 0.758]]}

=====

Record 8
{"formula": "Mn3IrRh12", "functional": "GGA-PBE", "state": "relaxed", "ef_ev_per_atom": -0.0933, "total_magnetization_mub_per_cell": 7.71, "energy_ha_per_atom": -0.290, "lattice_angstrom": [[3.822, 0.000, 0.000], [0.000, 3.822, 0.000], [0.000, 0.000, 15.284]], "species": ["Mn", "Mn", "Mn", "Ir", "Rh", "Rh", "Rh", "Rh", "Rh", "Rh", "Rh", "Rh", "Rh", "Rh", "Rh", "Rh"], "frac_coords": [[0.000, 0.000, 0.000], [0.000, 0.000, 0.246], [0.000, 0.000, 0.754], [0.000, 0.000, 0.500], [0.000, 0.500, 0.124], [0.000, 0.500, 0.374], [0.000, 0.500, 0.626], [0.000, 0.500, 0.876], [0.500, 0.000, 0.124], [0.500, 0.000, 0.374], [0.500, 0.000, 0.626], [0.500, 0.000, 0.876], [0.500, 0.500, 0.000], [0.500, 0.500, 0.249], [0.500, 0.500, 0.500], [0.500, 0.500, 0.751]]}